Record 1
PBE SbPbBrO2, relaxed; DFT total energy = -5.12 eV per atom; space group = Cmcm; uncorrected formation energy = -119.2 kJ/mol of atoms; magnetization = 0.00 μB per cell; Fermi-level density of states = 0.00 states/eV/cell
1.0
-5.3048 0.7403 -1.4595
0.1123 -4.9486 -2.9185
-1.9782 -0.7302 6.8199
Br Pb O Sb
2 2 4 2
Cartesian
-4.8580 -3.4790 0.0556
-2.3126 -1.4595 2.3863
-5.4732 -1.9363 3.0740
-1.6975 -3.0022 -0.6321
-4.5435 -4.1944 3.8287
-2.6271 -0.7441 -1.3868
-5.2795 -0.3739 -2.1165
-1.8912 -4.5646 4.5584
-2.9035 -5.0125 2.7316
-4.2672 0.0740 -0.2896


Record 2
PBE YTe2, relaxed; DFT total energy = -5.45 eV per atom; space group = Immm; uncorrected formation energy = -116.1 kJ/mol of atoms; magnetization = 0.00 μB per cell; Fermi-level density of states = 2.97 states/eV/cell
1.0
8.1352 -0.0116 -0.0221
7.0641 4.0348 -0.0221
2.2948 0.6074 5.6054
Y Te
2 4
Cartesian
6.1042 1.6157 4.6716
0.2852 0.0755 0.6101
10.2206 2.7053 1.2145
11.3681 3.0090 4.0231
5.8946 1.5602 1.4586
15.6941 4.1541 3.7790


Record 3
PBE NdDy2Ho4Er, relaxed; DFT total energy = -4.17 eV per atom; space group = C2/c; magnetization = 6.33 μB per cell; calculated formation energy = 439 meV/atom; Fermi-level density of states = 34.59 states/eV/cell
1.0
9.3188 -0.0398 -1.6790
-0.0464 9.3187 -1.6790
-5.9253 -5.9294 8.1986
Nd Ho Dy Er
2 8 4 2
Cartesian
6.3330 1.6548 1.5807
-0.0232 4.6594 -0.8395
1.0188 1.0434 5.6663
-0.6308 -0.6552 3.2460
4.0007 -0.6582 2.4128
-0.6537 4.0076 2.4277
2.3283 2.3060 -0.8257
1.0590 -3.6437 6.5121
3.9779 4.0047 1.5945
2.2882 6.9932 -1.6716
4.6594 -0.0199 -0.8395
4.6362 4.6394 -1.6790
1.6967 -2.9846 3.2597
-2.9626 -2.9647 4.0993
1.6735 1.6747 2.4203
3.3935 -5.9693 6.5195


Record 4
PBE Th2ZrCo2, relaxed; DFT total energy = -7.80 eV per atom; space group = C2/m; magnetization = 0.00 μB per cell; calculated formation energy = -275 meV/atom; Fermi-level density of states = 8.23 states/eV/cell
1.0
-1.4643 0.6056 3.3536
-2.4846 -5.4876 1.9573
7.9705 -0.8194 5.6794
Th Co Zr
4 4 2
Cartesian
1.2648 -2.2379 3.0076
6.1080 -1.8863 7.1100
-2.0865 -3.8151 3.8802
2.7567 -3.4635 7.9826
1.1820 -3.8993 5.3226
-0.6544 -0.3422 3.8784
2.8395 -1.8021 5.6676
4.6759 -5.3592 7.1119
-0.6513 -4.9418 6.7616
4.6728 -0.7596 4.2287


Record 5
PBE ErIn2GeTe4, relaxed; DFT total energy = -3.94 eV per atom; space group = P2/m; uncorrected formation energy = -51.6 kJ/mol of atoms; magnetization = 0.00 μB per cell; Fermi-level density of states = 3.65 states/eV/cell
1.0
4.3672 0.0000 0.0000
0.0000 7.9129 -0.2507
0.0000 2.6931 7.1732
Ge Te Er In
1 4 1 2
Cartesian
2.1837 6.6496 7.0479
4.3672 2.8121 1.6820
0.0001 7.7940 5.2405
2.1837 6.4383 1.6543
2.1836 4.1677 5.2683
0.0000 5.3030 3.4613
0.0000 2.6931 7.1732
2.1836 1.3466 3.5866


Record 6
PBE CaMgTi, relaxed; DFT total energy = -3.52 eV per atom; energy above the lowest structure with this stoichiometry = 55 meV/atom; space group = Pnma; magnetization = 0.00 μB per cell; calculated formation energy = 314 meV/atom; Fermi-level density of states = 12.05 states/eV/cell
1.0
-0.4232 -2.1881 -4.5656
5.1683 -1.3107 0.1491
-2.6478 -9.8744 4.9779
Mg Ca Ti
4 4 4
Cartesian
3.2987 -3.2612 0.1028
-0.6481 -7.7435 2.0990
-1.2014 -10.1120 0.4586
2.7453 -5.6297 -1.5376
-1.4588 -10.7577 3.7036
3.5560 -2.6156 -3.1422
2.4753 -6.3411 1.5702
-0.3780 -7.0321 -1.0088
0.3962 -3.8858 -0.1869
1.7461 -9.0145 3.3442
1.7011 -9.4875 0.7483
0.3511 -4.3587 -2.7829